# 1
First-principles (GGA-PBE) data for crystalline TbSm5ErSc2 at its relaxed geometry, as listed in Alexandria via LeMat-Bulk.

```
data_TbSm5ErSc2
_chemical_formula_sum 'Tb2 Sm10 Er2 Sc4'
_symmetry_space_group_name_H-M 'P 1'
_symmetry_Int_Tables_number 1
_cell_length_a 5.6533
_cell_length_b 11.2007
_cell_length_c 9.4296
_cell_angle_alpha 90.00
_cell_angle_beta 90.00
_cell_angle_gamma 104.62
loop_
_symmetry_equiv_pos_as_xyz
'x,y,z'
loop_
_atom_site_label
_atom_site_type_symbol
_atom_site_fract_x
_atom_site_fract_y
_atom_site_fract_z
Tb1 Tb 0.8168 0.6336 0.5182
Tb2 Tb 0.1832 0.3664 0.0182
Sm1 Sm 0.3921 0.7842 0.0475
Sm2 Sm 0.7334 0.4667 0.8283
Sm3 Sm 0.4675 0.9351 0.7482
Sm4 Sm 0.3042 0.6084 0.7171
Sm5 Sm 0.9880 0.9759 0.5089
Sm6 Sm 0.6079 0.2158 0.5475
Sm7 Sm 0.2666 0.5333 0.3283
Sm8 Sm 0.5325 0.0649 0.2482
Sm9 Sm 0.6958 0.3916 0.2171
Sm10 Sm 0.0120 0.0241 0.0089
Er1 Er 0.5987 0.1974 0.9207
Er2 Er 0.4013 0.8026 0.4207
Sc1 Sc 0.8856 0.7712 0.8285
Sc2 Sc 0.1319 0.2637 0.7065
Sc3 Sc 0.1144 0.2288 0.3285
Sc4 Sc 0.8681 0.7363 0.2065
```

Results
E_tot = -4.89 eV per atom



# 2
First-principles (GGA-PBE) data for crystalline Sm2YHo3As6 at its relaxed geometry, as listed in Alexandria via LeMat-Bulk.

```
data_Sm2YHo3As6
_chemical_formula_sum 'Sm2 Y1 Ho3 As6'
_symmetry_space_group_name_H-M 'P 1'
_symmetry_Int_Tables_number 1
_cell_length_a 4.1441
_cell_length_b 8.2826
_cell_length_c 9.2615
_cell_angle_alpha 102.90
_cell_angle_beta 102.93
_cell_angle_gamma 90.00
loop_
_symmetry_equiv_pos_as_xyz
'x,y,z'
loop_
_atom_site_label
_atom_site_type_symbol
_atom_site_fract_x
_atom_site_fract_y
_atom_site_fract_z
Sm1 Sm 0.8338 0.6676 0.6677
Sm2 Sm 0.1662 0.3324 0.3323
Y1 Y 0.5000 0.0000 0.0000
Ho1 Ho 0.5000 0.5000 0.0000
Ho2 Ho 0.8331 0.1665 0.6661
Ho3 Ho 0.1669 0.8335 0.3339
As1 As 0.3332 0.9217 0.6663
As2 As 0.6651 0.5871 0.3302
As3 As 0.6668 0.0783 0.3337
As4 As 0.9981 0.2502 0.9963
As5 As 0.0019 0.7498 0.0037
As6 As 0.3349 0.4129 0.6698
```

Results
E_tot = -6.32 eV per atom



# 3
First-principles (GGA-PBE) data for crystalline Li2SnMoN at its relaxed geometry, as listed in Alexandria via LeMat-Bulk.

```
data_Li2SnMoN
_chemical_formula_sum 'Li2 Sn1 Mo1 N1'
_symmetry_space_group_name_H-M 'P 1'
_symmetry_Int_Tables_number 1
_cell_length_a 4.1639
_cell_length_b 4.1639
_cell_length_c 4.0118
_cell_angle_alpha 90.00
_cell_angle_beta 90.00
_cell_angle_gamma 90.00
loop_
_symmetry_equiv_pos_as_xyz
'x,y,z'
loop_
_atom_site_label
_atom_site_type_symbol
_atom_site_fract_x
_atom_site_fract_y
_atom_site_fract_z
Mo1 Mo 0.0000 0.0000 0.5000
Li1 Li 0.0000 0.5000 0.0000
Li2 Li 0.5000 0.0000 0.0000
Sn1 Sn 0.5000 0.5000 0.5000
N1 N 0.0000 0.0000 0.0000
```

Results
energy relative to the elements, uncorrected = -0.28 eV/atom